(1)
! InSn2BiPb PBE optimized geometry; values from VASP
! Formation enthalpy at 0 K (eV per atom): 0.13
! Volume (Å³/f.u.): 155.2
! Symmetry: No. 63
&SYSTEM
  ibrav = 0, nat = 10, ntyp = 4
/
ATOMIC_SPECIES
In 114.82 In.upf
Sn 118.71 Sn.upf
Bi 208.98 Bi.upf
Pb 207.20 Pb.upf
CELL_PARAMETERS angstrom
3.014 -8.482 0.000
3.014 8.482 0.000
0.000 0.000 6.072
ATOMIC_POSITIONS crystal
In 0.150 0.850 0.750
In 0.850 0.150 0.250
Sn 0.248 0.248 0.000
Sn 0.248 0.248 0.500
Sn 0.752 0.752 0.000
Sn 0.752 0.752 0.500
Bi 0.249 0.751 0.250
Bi 0.751 0.249 0.750
Pb 0.344 0.656 0.750
Pb 0.656 0.344 0.250

***

(2)
! SrIn2BiPb PBE optimized geometry; values from VASP
! Formation enthalpy at 0 K (eV per atom): -0.14
! Volume (Å³/f.u.): 178.8
! Symmetry: No. 63
&SYSTEM
  ibrav = 0, nat = 10, ntyp = 4
/
ATOMIC_SPECIES
Sr 87.62 Sr.upf
In 114.82 In.upf
Bi 208.98 Bi.upf
Pb 207.20 Pb.upf
CELL_PARAMETERS angstrom
2.117 -8.038 0.000
2.117 8.038 0.000
0.000 0.000 10.510
ATOMIC_POSITIONS crystal
Sr 0.060 0.940 0.750
Sr 0.940 0.060 0.250
In 0.319 0.681 0.564
In 0.319 0.681 0.936
In 0.681 0.319 0.064
In 0.681 0.319 0.436
Bi 0.256 0.744 0.250
Bi 0.744 0.256 0.750
Pb 0.500 0.500 0.000
Pb 0.500 0.500 0.500

***

(3)
! Sr3In2Bi2Pb4 PBE optimized geometry; values from VASP
! Formation enthalpy at 0 K (eV per atom): -0.35
! Volume (Å³/f.u.): 379.8
! Symmetry: No. 139
&SYSTEM
  ibrav = 0, nat = 11, ntyp = 4
/
ATOMIC_SPECIES
Sr 87.62 Sr.upf
In 114.82 In.upf
Bi 208.98 Bi.upf
Pb 207.20 Pb.upf
CELL_PARAMETERS angstrom
-2.444 2.444 15.892
2.444 -2.444 15.892
2.444 2.444 -15.892
ATOMIC_POSITIONS crystal
Sr 0.000 0.000 0.000
Sr 0.201 0.201 0.000
Sr 0.799 0.799 0.000
In 0.456 0.456 0.000
In 0.544 0.544 0.000
Bi 0.309 0.309 0.000
Bi 0.691 0.691 0.000
Pb 0.109 0.609 0.500
Pb 0.391 0.891 0.500
Pb 0.609 0.109 0.500
Pb 0.891 0.391 0.500